No. 1
{
  "formula": "Tb2ScPd4",
  "functional": "PBE",
  "state": "optimized geometry",
  "sg": "No. 12",
  "formation_enthalpy_0k_ev_per_atom": -0.534,
  "cell": [[-2.8928, -2.9810, -2.9047], [2.1592, -4.4939, -0.9134], [-2.8768, -0.9839, 6.5509]],
  "species": ["Pd", "Tb", "Pd", "Pd", "Sc", "Tb", "Pd"],
  "fractional_positions": [[0.7571, 0.7571, 0.6660], [0.4057, 0.4057, 0.7214], [0.2429, 0.2429, 0.3340], [0.0000, 0.5000, 0.0000], [0.0000, 0.0000, 0.0000], [0.5943, 0.5943, 0.2786], [0.5000, 0.0000, 0.0000]]
}



No. 2
{
  "formula": "TbSc2Pd3",
  "functional": "PBE",
  "state": "optimized geometry",
  "sg": "No. 123",
  "formation_enthalpy_0k_ev_per_atom": -0.878,
  "cell": [[-0.3466, 0.2488, 3.3171], [3.1807, -0.9515, 0.4037], [3.0156, 9.8990, -0.4275]],
  "species": ["Pd", "Sc", "Pd", "Tb", "Sc", "Pd"],
  "fractional_positions": [[0.0000, 0.0000, 0.3104], [0.5000, 0.5000, 0.1594], [0.0000, 0.0000, 0.0000], [0.5000, 0.5000, 0.5000], [0.5000, 0.5000, 0.8406], [0.0000, 0.0000, 0.6896]]
}



No. 3
{
  "formula": "Tb4ScPd2",
  "functional": "PBE",
  "state": "optimized geometry",
  "sg": "No. 166",
  "formation_enthalpy_0k_ev_per_atom": -0.318,
  "cell": [[5.1536, 0.0000, 0.0000], [2.5768, 4.4631, 0.0000], [2.5768, 1.4877, 8.3464]],
  "species": ["Tb", "Pd", "Tb", "Pd", "Tb", "Tb", "Sc"],
  "fractional_positions": [[0.7126, 0.7126, 0.8621], [0.6017, 0.6017, 0.1948], [0.2874, 0.2874, 0.1379], [0.3983, 0.3983, 0.8052], [0.1205, 0.1205, 0.6386], [0.8795, 0.8795, 0.3614], [0.5000, 0.5000, 0.5000]]
}



No. 4
{
  "formula": "Tb2Sc3Pd4",
  "functional": "PBE",
  "state": "optimized geometry",
  "sg": "No. 64",
  "formation_enthalpy_0k_ev_per_atom": -0.738,
  "cell": [[-5.2483, -0.3313, 3.4016], [3.5360, -3.7887, 5.0867], [4.6947, 7.3231, 2.1909]],
  "species": ["Pd", "Pd", "Pd", "Tb", "Pd", "Tb", "Sc", "Pd", "Sc", "Sc", "Tb", "Sc", "Sc", "Pd", "Tb", "Sc", "Pd", "Pd"],
  "fractional_positions": [[0.6683, 0.5323, 0.3367], [0.1821, 0.7500, 0.8642], [0.3179, 0.2500, 0.1358], [0.5975, 0.9123, 0.1950], [0.1683, 0.9677, 0.3367], [0.0975, 0.5877, 0.1950], [0.4825, 0.2500, 0.4649], [0.8317, 0.0323, 0.6633], [0.5175, 0.7500, 0.5351], [0.5000, 0.5000, 0.0000], [0.4025, 0.0877, 0.8050], [0.9825, 0.2500, 0.4649], [0.0000, 0.0000, 0.0000], [0.8179, 0.2500, 0.1358], [0.9025, 0.4123, 0.8050], [0.0175, 0.7500, 0.5351], [0.3317, 0.4677, 0.6633], [0.6821, 0.7500, 0.8642]]
}



No. 5
{
  "formula": "Tb4ScPd15",
  "functional": "PBE",
  "state": "optimized geometry",
  "sg": "No. 123",
  "formation_enthalpy_0k_ev_per_atom": -0.862,
  "cell": [[4.1028, 0.0000, 0.0000], [0.0000, 4.1028, 0.0000], [0.0000, 0.0000, 20.5971]],
  "species": ["Pd", "Pd", "Sc", "Tb", "Pd", "Pd", "Pd", "Pd", "Tb", "Pd", "Pd", "Pd", "Pd", "Tb", "Pd", "Pd", "Tb", "Pd", "Pd", "Pd"],
  "fractional_positions": [[0.5000, 0.5000, 0.1959], [0.0000, 0.5000, 0.7028], [0.0000, 0.0000, 0.0000], [0.0000, 0.0000, 0.1960], [0.0000, 0.5000, 0.0941], [0.5000, 0.0000, 0.5000], [0.5000, 0.0000, 0.0941], [0.5000, 0.0000, 0.9059], [0.0000, 0.0000, 0.8040], [0.0000, 0.5000, 0.2972], [0.5000, 0.5000, 0.6015], [0.5000, 0.5000, 0.3985], [0.5000, 0.5000, 0.0000], [0.0000, 0.0000, 0.6014], [0.5000, 0.0000, 0.2972], [0.5000, 0.0000, 0.7028], [0.0000, 0.0000, 0.3986], [0.0000, 0.5000, 0.5000], [0.5000, 0.5000, 0.8041], [0.0000, 0.5000, 0.9059]]
}



No. 6
{
  "formula": "TbSc2Pd4",
  "functional": "PBE",
  "state": "optimized geometry",
  "sg": "No. 123",
  "formation_enthalpy_0k_ev_per_atom": -0.638,
  "cell": [[-0.1744, 3.6713, 2.7438], [-3.1647, -2.0826, 2.5855], [4.8509, -2.6261, 3.8223]],
  "species": ["Pd", "Pd", "Tb", "Pd", "Sc", "Pd", "Sc"],
  "fractional_positions": [[0.0000, 0.5000, 0.2659], [0.5000, 0.0000, 0.7341], [0.5000, 0.5000, 0.0000], [0.0000, 0.5000, 0.7341], [0.5000, 0.5000, 0.5000], [0.5000, 0.0000, 0.2659], [0.0000, 0.0000, 0.0000]]
}



No. 7
{
  "formula": "TbScPd4",
  "functional": "PBE",
  "state": "optimized geometry",
  "sg": "No. 62",
  "relative_energy_ev_per_atom": 0.000,
  "formation_enthalpy_0k_ev_per_atom": -0.757,
  "cell": [[3.9872, 0.0000, 0.0000], [0.0000, 6.6968, 0.0000], [0.0000, 0.0000, 16.8204]],
  "species": ["Pd", "Sc", "Pd", "Tb", "Pd", "Pd", "Pd", "Pd", "Pd", "Pd", "Pd", "Pd", "Pd", "Sc", "Pd", "Tb", "Tb", "Pd", "Pd", "Pd", "Tb", "Sc", "Sc", "Pd"],
  "fractional_positions": [[0.7500, 0.0409, 0.9403], [0.2500, 0.3092, 0.9757], [0.7500, 0.5409, 0.5597], [0.2500, 0.6755, 0.2892], [0.7500, 0.7661, 0.4111], [0.2500, 0.0569, 0.3756], [0.7500, 0.2661, 0.0889], [0.2500, 0.7339, 0.9111], [0.7500, 0.9431, 0.6244], [0.7500, 0.3552, 0.3249], [0.2500, 0.1448, 0.8249], [0.2500, 0.5569, 0.1244], [0.7500, 0.8552, 0.1751], [0.7500, 0.6908, 0.0243], [0.2500, 0.6448, 0.6751], [0.2500, 0.1755, 0.2108], [0.7500, 0.3245, 0.7108], [0.7500, 0.4431, 0.8756], [0.2500, 0.4591, 0.4403], [0.2500, 0.9591, 0.0597], [0.7500, 0.8245, 0.7892], [0.2500, 0.8092, 0.5243], [0.7500, 0.1908, 0.4757], [0.2500, 0.2339, 0.5889]]
}



No. 8
{
  "formula": "TbScTlPd",
  "functional": "PBE",
  "state": "optimized geometry",
  "sg": "No. 216",
  "formation_enthalpy_0k_ev_per_atom": -0.515,
  "cell": [[5.0532, 0.0000, 0.0000], [2.5266, 4.3762, 0.0000], [2.5266, 1.4587, 4.1259]],
  "species": ["Pd", "Tl", "Sc", "Tb"],
  "fractional_positions": [[0.7500, 0.7500, 0.7500], [0.2500, 0.2500, 0.2500], [0.0000, 0.0000, 0.0000], [0.5000, 0.5000, 0.5000]]
}



No. 9
{
  "formula": "TbTmScPd",
  "functional": "PBE",
  "state": "optimized geometry",
  "sg": "No. 216",
  "formation_enthalpy_0k_ev_per_atom": -0.198,
  "cell": [[5.1346, 0.0000, 0.0000], [2.5673, 4.4467, 0.0000], [2.5673, 1.4822, 4.1924]],
  "species": ["Tm", "Sc", "Tb", "Pd"],
  "fractional_positions": [[0.7500, 0.7500, 0.7500], [0.0000, 0.0000, 0.0000], [0.2500, 0.2500, 0.2500], [0.5000, 0.5000, 0.5000]]
}



No. 10
{
  "formula": "TbYScPd",
  "functional": "PBE",
  "state": "optimized geometry",
  "sg": "No. 216",
  "formation_enthalpy_0k_ev_per_atom": -0.179,
  "cell": [[5.1724, 0.0000, 0.0000], [2.5862, 4.4794, 0.0000], [2.5862, 1.4931, 4.2232]],
  "species": ["Y", "Pd", "Sc", "Tb"],
  "fractional_positions": [[0.2500, 0.2500, 0.2500], [0.0000, 0.0000, 0.0000], [0.5000, 0.5000, 0.5000], [0.7500, 0.7500, 0.7500]]
}



No. 11
{
  "formula": "TbScZnPd",
  "functional": "PBE",
  "state": "optimized geometry",
  "sg": "No. 216",
  "relative_energy_ev_per_atom": 0.037,
  "formation_enthalpy_0k_ev_per_atom": -0.580,
  "cell": [[4.8787, 0.0000, 0.0000], [2.4393, 4.2251, 0.0000], [2.4393, 1.4084, 3.9834]],
  "species": ["Tb", "Sc", "Pd", "Zn"],
  "fractional_positions": [[0.7500, 0.7500, 0.7500], [0.2500, 0.2500, 0.2500], [0.5000, 0.5000, 0.5000], [0.0000, 0.0000, 0.0000]]
}



No. 12
{
  "formula": "Tb2ScZn2Pd5",
  "functional": "PBE",
  "state": "optimized geometry",
  "sg": "No. 127",
  "formation_enthalpy_0k_ev_per_atom": -0.774,
  "cell": [[3.8202, 0.0000, 0.0000], [0.0000, 9.7851, 0.0000], [0.0000, 0.0000, 9.7851]],
  "species": ["Tb", "Pd", "Zn", "Pd", "Zn", "Zn", "Pd", "Pd", "Tb", "Zn", "Sc", "Sc", "Pd", "Pd", "Pd", "Tb", "Tb", "Pd", "Pd", "Pd"],
  "fractional_positions": [[0.0000, 0.1756, 0.3244], [0.5000, 0.5000, 0.0000], [0.0000, 0.6209, 0.8791], [0.5000, 0.4330, 0.2938], [0.0000, 0.8791, 0.3791], [0.0000, 0.3791, 0.1209], [0.5000, 0.2062, 0.0670], [0.5000, 0.0000, 0.5000], [0.0000, 0.6756, 0.1756], [0.0000, 0.1209, 0.6209], [0.0000, 0.5000, 0.5000], [0.0000, 0.0000, 0.0000], [0.5000, 0.2938, 0.5670], [0.5000, 0.0670, 0.7938], [0.5000, 0.9330, 0.2062], [0.0000, 0.8244, 0.6756], [0.0000, 0.3244, 0.8244], [0.5000, 0.5670, 0.7062], [0.5000, 0.7938, 0.9330], [0.5000, 0.7062, 0.4330]]
}



No. 13
{
  "formula": "TbScZnPd",
  "functional": "PBE",
  "state": "optimized geometry",
  "sg": "No. 99",
  "relative_energy_ev_per_atom": 0.000,
  "formation_enthalpy_0k_ev_per_atom": -0.617,
  "cell": [[-2.1733, 0.5195, 2.6309], [-2.5761, -1.3450, -1.8625], [1.4744, -6.2079, 2.4438]],
  "species": ["Pd", "Tb", "Sc", "Zn"],
  "fractional_positions": [[0.5000, 0.5000, 0.1335], [0.0000, 0.0000, 0.8604], [0.0000, 0.0000, 0.3547], [0.5000, 0.5000, 0.5794]]
}



No. 14
{
  "formula": "Sc6TcPd5",
  "functional": "PBE",
  "state": "optimized geometry",
  "sg": "No. 65",
  "formation_enthalpy_0k_ev_per_atom": -0.815,
  "cell": [[4.4425, -0.0265, 1.4805], [0.0351, 6.5332, 0.0117], [0.0058, -0.0133, 7.3879]],
  "species": ["Pd", "Pd", "Sc", "Sc", "Pd", "Sc", "Pd", "Tc", "Sc", "Sc", "Sc", "Pd"],
  "fractional_positions": [[0.3311, 0.5000, 0.3378], [0.0000, 0.5000, 0.0000], [0.5000, 0.2441, 0.0000], [0.8369, 0.2473, 0.3262], [0.3322, 0.0000, 0.3356], [0.1631, 0.2473, 0.6738], [0.6689, 0.5000, 0.6622], [0.0000, 0.0000, 0.0000], [0.5000, 0.7559, 0.0000], [0.8369, 0.7527, 0.3262], [0.1631, 0.7527, 0.6738], [0.6678, 0.0000, 0.6644]]
}



No. 15
{
  "formula": "Sc4TcPd2",
  "functional": "PBE",
  "state": "optimized geometry",
  "sg": "No. 65",
  "formation_enthalpy_0k_ev_per_atom": -0.533,
  "cell": [[4.5916, 0.0000, 0.0000], [0.0000, 5.2002, -2.2705], [0.0000, 0.2795, 5.6674]],
  "species": ["Sc", "Tc", "Pd", "Sc", "Sc", "Pd", "Sc"],
  "fractional_positions": [[0.5000, 0.0000, 0.5000], [0.5000, 0.5000, 0.5000], [0.0000, 0.2561, 0.7439], [0.0000, 0.7488, 0.7488], [0.0000, 0.2512, 0.2512], [0.0000, 0.7439, 0.2561], [0.5000, 0.5000, 0.0000]]
}



No. 16
{
  "formula": "Sc8TcPd2",
  "functional": "PBE",
  "state": "optimized geometry",
  "sg": "No. 8",
  "relative_energy_ev_per_atom": 0.104,
  "formation_enthalpy_0k_ev_per_atom": -0.311,
  "cell": [[-1.8720, 2.6589, -4.0602], [-4.7448, -5.7831, 0.2496], [-0.3298, 5.1793, 5.3931]],
  "species": ["Pd", "Sc", "Sc", "Sc", "Tc", "Pd", "Sc", "Sc", "Sc", "Sc", "Sc"],
  "fractional_positions": [[0.5034, 0.3072, 0.7076], [0.6003, 0.3288, 0.0976], [0.6003, 0.0976, 0.3288], [0.1859, 0.3675, 0.3675], [0.0526, 0.0053, 0.0053], [0.5034, 0.7076, 0.3072], [0.3811, 0.9076, 0.6741], [0.9939, 0.7937, 0.2026], [0.8039, 0.6419, 0.6419], [0.3811, 0.6741, 0.9076], [0.9939, 0.2026, 0.7937]]
}



No. 17
{
  "formula": "Sc8Tc2Pd",
  "functional": "PBE",
  "state": "optimized geometry",
  "sg": "No. 12",
  "formation_enthalpy_0k_ev_per_atom": -0.282,
  "cell": [[4.3411, 0.0000, -1.2501], [-0.8835, 5.7531, -3.0681], [0.2222, 0.2811, 8.9338]],
  "species": ["Pd", "Sc", "Sc", "Tc", "Sc", "Sc", "Sc", "Sc", "Tc", "Sc", "Sc"],
  "fractional_positions": [[0.5000, 0.0000, 0.0000], [0.0270, 0.2768, 0.0539], [0.2003, 0.0996, 0.4006], [0.8191, 0.3319, 0.6382], [0.6006, 0.7399, 0.2011], [0.6687, 0.3831, 0.3374], [0.3994, 0.2601, 0.7989], [0.9730, 0.7232, 0.9461], [0.1809, 0.6681, 0.3618], [0.7997, 0.9004, 0.5994], [0.3313, 0.6169, 0.6626]]
}



No. 18
{
  "formula": "Sc3TcPd",
  "functional": "PBE",
  "state": "optimized geometry",
  "sg": "No. 221",
  "relative_energy_ev_per_atom": 0.313,
  "formation_enthalpy_0k_ev_per_atom": 0.448,
  "cell": [[-4.3076, -1.4427, 1.9041], [0.9486, -4.6362, -1.3668], [2.1925, -0.8286, 4.3323]],
  "species": ["Tc", "Sc", "Sc", "Sc", "Pd"],
  "fractional_positions": [[0.5000, 0.5000, 0.5000], [0.0000, 0.0000, 0.5000], [0.5000, 0.0000, 0.0000], [0.0000, 0.5000, 0.0000], [0.0000, 0.0000, 0.0000]]
}



No. 19
{
  "formula": "Sc3TcPd",
  "functional": "PBE",
  "state": "optimized geometry",
  "sg": "No. 221",
  "relative_energy_ev_per_atom": 0.000,
  "formation_enthalpy_0k_ev_per_atom": 0.135,
  "cell": [[4.9081, 0.0000, 0.0000], [0.0000, 4.9081, 0.0000], [0.0000, 0.0000, 4.9081]],
  "species": ["Sc", "Sc", "Tc", "Sc", "Pd"],
  "fractional_positions": [[0.0000, 0.5000, 0.0000], [0.0000, 0.0000, 0.5000], [0.0000, 0.0000, 0.0000], [0.5000, 0.0000, 0.0000], [0.5000, 0.5000, 0.5000]]
}



No. 20
{
  "formula": "Sc5TcPd4",
  "functional": "PBE",
  "state": "optimized geometry",
  "sg": "No. 123",
  "formation_enthalpy_0k_ev_per_atom": -0.780,
  "cell": [[-2.8003, 0.8924, -1.4549], [-0.5503, -3.1183, -0.8535], [-8.1949, -2.4583, 14.2651]],
  "species": ["Pd", "Sc", "Tc", "Sc", "Pd", "Sc", "Pd", "Sc", "Pd", "Sc"],
  "fractional_positions": [[0.0000, 0.0000, 0.6022], [0.5000, 0.5000, 0.2957], [0.0000, 0.0000, 0.0000], [0.5000, 0.5000, 0.7043], [0.0000, 0.0000, 0.1995], [0.5000, 0.5000, 0.9074], [0.0000, 0.0000, 0.8005], [0.5000, 0.5000, 0.0926], [0.0000, 0.0000, 0.3978], [0.5000, 0.5000, 0.5000]]
}



No. 21
{
  "formula": "Sc4TcPd3",
  "functional": "PBE",
  "state": "optimized geometry",
  "sg": "No. 123",
  "formation_enthalpy_0k_ev_per_atom": -0.746,
  "cell": [[3.2699, 0.0000, 0.0000], [0.0000, 3.2699, 0.0000], [0.0000, 0.0000, 13.3481]],
  "species": ["Sc", "Pd", "Sc", "Sc", "Sc", "Pd", "Pd", "Tc"],
  "fractional_positions": [[0.0000, 0.0000, 0.6284], [0.5000, 0.5000, 0.7497], [0.0000, 0.0000, 0.3716], [0.0000, 0.0000, 0.8838], [0.0000, 0.0000, 0.1162], [0.5000, 0.5000, 0.2503], [0.5000, 0.5000, 0.5000], [0.5000, 0.5000, 0.0000]]
}



No. 22
{
  "formula": "ScTc3Pd",
  "functional": "PBE",
  "state": "optimized geometry",
  "sg": "No. 221",
  "relative_energy_ev_per_atom": 0.000,
  "formation_enthalpy_0k_ev_per_atom": 1.636,
  "cell": [[4.7020, 0.0000, 0.0000], [0.0000, 4.7020, 0.0000], [0.0000, 0.0000, 4.7020]],
  "species": ["Tc", "Tc", "Pd", "Sc", "Tc"],
  "fractional_positions": [[0.0000, 0.5000, 0.0000], [0.0000, 0.0000, 0.5000], [0.0000, 0.0000, 0.0000], [0.5000, 0.5000, 0.5000], [0.5000, 0.0000, 0.0000]]
}



No. 23
{
  "formula": "ScTc3Pd",
  "functional": "PBE",
  "state": "optimized geometry",
  "sg": "No. 221",
  "relative_energy_ev_per_atom": 0.156,
  "formation_enthalpy_0k_ev_per_atom": 1.792,
  "cell": [[4.5215, 0.0000, 0.0000], [0.0000, 4.5215, 0.0000], [0.0000, 0.0000, 4.5215]],
  "species": ["Tc", "Tc", "Pd", "Sc", "Tc"],
  "fractional_positions": [[0.0000, 0.5000, 0.0000], [0.0000, 0.0000, 0.5000], [0.5000, 0.5000, 0.5000], [0.0000, 0.0000, 0.0000], [0.5000, 0.0000, 0.0000]]
}



Per-record total magnetic moment, μB/cell: 0.0, 0.0, 0.0, 0.0, 0.0, 0.0, 0.0, 0.0, 0.0, 0.0, 0.0, 0.0, 0.0, 0.0, 0.0, 0.0, 0.0, 1.2, 0.0, 0.0, 0.0, 0.3, 0.0
Per-record DOS(E_F), states/eV/cell: 3.64, 4.25, 6.14, 19.38, 12.86, 2.82, 10.90, 3.73, 4.24, 4.92, 3.01, 9.26, 3.14, 6.52, 5.31, 11.16, 12.61, 5.27, 4.72, 4.69, 4.77, 11.08, 5.14